{
  "formula": "HoMnIn4O8",
  "functional": "GGA+U",
  "state": "optimized geometry",
  "final_energy_ev_per_cell": -88.50,
  "volume_a3_per_atom": 14.574,
  "cell": [[3.2890, 1.8989, 5.4449], [-3.2890, 1.8989, 5.4449], [0.0000, -3.7979, 5.4449]],
  "species": ["Ho", "Mn", "In", "In", "In", "In", "O", "O", "O", "O", "O", "O", "O", "O"],
  "fractional_positions": [[0.0000, 0.0000, 0.0000], [0.3748, 0.3748, 0.3748], [0.4954, 0.9994, 0.9994], [0.6238, 0.6238, 0.6238], [0.9994, 0.4954, 0.9994], [0.9994, 0.9994, 0.4954], [0.2194, 0.7554, 0.7554], [0.2382, 0.2382, 0.2382], [0.2416, 0.2416, 0.7730], [0.2416, 0.7730, 0.2416], [0.7554, 0.2194, 0.7554], [0.7554, 0.7554, 0.2194], [0.7604, 0.7604, 0.7604], [0.7730, 0.2416, 0.2416]]
}